[1]
Here is an optimized crystal structure of Y2HoTm4 from Alexandria. Energies are from PBE.

```
Y2HoTm4
1.0
-3.3407 5.6011 6.0290
3.3407 -5.6011 6.0290
3.3407 5.6011 -6.0290
Y Ho Tm
4 2 8
Cartesian
0.0000 0.0000 0.0000
0.0000 2.8005 2.6862
0.0000 5.6011 0.0000
3.3407 2.8005 3.3429
1.6703 2.8005 -3.0145
1.6703 -2.8005 3.0145
3.3407 -0.0981 1.6773
1.8405 2.8005 0.1327
4.8408 2.8005 0.1327
3.3407 5.5030 -1.6773
0.0000 0.0981 7.7064
-1.5002 2.8005 5.8963
1.5002 2.8005 5.8963
0.0000 5.6992 4.3517
```

Results
Density of states at the Fermi level: 1.589 states/eV/atom
Spin magnetization: 0.00 μB/f.u.
E above lowest polymorph: 0.276 eV/atom
SG: Imma (74)



[2]
Here is an optimized crystal structure of Y8Ho4Tm3 from Alexandria. Energies are from PBE.

```
Y8Ho4Tm3
1.0
3.4576 1.9962 11.7001
-3.4576 1.9962 11.7001
0.0000 -3.9925 11.7001
Y Ho Tm
8 4 3
Cartesian
0.0000 0.0000 8.5878
-1.7364 -1.0025 20.4652
0.0000 -2.0050 14.6350
-1.7364 1.0025 14.6350
1.7364 -1.0025 20.4652
0.0000 2.0050 20.4652
1.7364 1.0025 14.6350
0.0000 0.0000 26.5123
0.0000 0.0000 0.0000
0.0000 0.0000 11.7907
0.0000 0.0000 17.5501
0.0000 0.0000 23.3094
-3.4576 0.0000 17.5501
-1.7288 0.9981 5.8500
1.7288 0.9981 5.8500
```

Results
Density of states at the Fermi level: 1.639 states/eV/atom
Spin magnetization: 0.01 μB/f.u.
E above lowest polymorph: 0.000 eV/atom
SG: R-3m (166)



[3]
Here is an optimized crystal structure of Y12Ho2Tm5 from Alexandria. Energies are from PBE.

```
Y12Ho2Tm5
1.0
7.8109 -4.6167 0.0000
7.8109 4.6167 0.0000
-0.1390 0.0000 8.5201
Y Ho Tm
12 2 5
Cartesian
0.8642 0.0000 2.8363
5.7807 2.8303 2.8862
5.2915 1.6759 6.4738
9.7021 2.8303 5.6339
6.3958 0.0000 1.0071
10.1913 1.6759 2.0463
5.2915 -1.6759 6.4738
9.0870 0.0000 7.5131
5.7807 -2.8303 2.8862
10.1913 -1.6759 2.0463
9.7021 -2.8303 5.6339
14.6185 0.0000 5.6838
7.8109 2.9915 0.0000
7.8109 -2.9915 0.0000
3.0899 0.0000 0.1023
4.1305 0.0000 3.6290
7.7414 0.0000 4.2601
11.3523 0.0000 4.8912
12.3929 0.0000 8.4179
```

Results
Density of states at the Fermi level: 1.610 states/eV/atom
Spin magnetization: 0.00 μB/f.u.
E above lowest polymorph: 0.040 eV/atom
SG: C2/m (12)



[4]
Here is an optimized crystal structure of YHo4Tm15 from Alexandria. Energies are from PBE.

```
YHo4Tm15
1.0
4.9454 0.0000 0.0000
0.0000 4.9454 0.0000
0.0000 0.0000 24.7428
Y Ho Tm
1 4 15
Cartesian
0.0000 0.0000 0.0000
0.0000 0.0000 4.9543
0.0000 0.0000 9.8982
0.0000 0.0000 14.8446
0.0000 0.0000 19.7886
0.0000 2.4727 2.4895
0.0000 2.4727 7.4259
0.0000 2.4727 12.3714
0.0000 2.4727 17.3169
0.0000 2.4727 22.2533
2.4727 0.0000 2.4895
2.4727 0.0000 7.4259
2.4727 0.0000 12.3714
2.4727 0.0000 17.3169
2.4727 0.0000 22.2533
2.4727 2.4727 0.0000
2.4727 2.4727 4.9558
2.4727 2.4727 9.8978
2.4727 2.4727 14.8450
2.4727 2.4727 19.7870
```

Results
Total energy: -4.57 eV per atom
Density of states at the Fermi level: 1.370 states/eV/atom
Spin magnetization: 0.00 μB/f.u.
SG: P4/mmm (123)



[5]
Here is an optimized crystal structure of YHo5Tm from Alexandria. Energies are from PBE.

```
YHo5Tm
1.0
-2.8728 4.2907 5.9625
2.8728 -4.2907 5.9625
2.8728 4.2907 -5.9625
Y Ho Tm
1 5 1
Cartesian
0.0000 0.0000 0.0000
2.8728 0.0000 0.0000
0.0000 0.0000 2.9245
0.0000 2.7694 0.0000
0.0000 5.8121 0.0000
0.0000 0.0000 9.0005
0.0000 0.0000 5.9625
```

Results
Total energy: -3.69 eV per atom
Density of states at the Fermi level: 1.012 states/eV/atom
Spin magnetization: 0.00 μB/f.u.
SG: Immm (71)



[6]
Here is an optimized crystal structure of Y2Ho7Tm from Alexandria. Energies are from PBE.

```
Y2Ho7Tm
1.0
4.2606 -8.9090 0.0000
4.2606 8.9090 0.0000
0.0000 0.0000 4.9893
Y Ho Tm
2 7 1
Cartesian
4.2606 5.2941 0.0000
4.2606 -5.2941 0.0000
0.0000 0.0000 0.0000
2.7166 1.8301 0.0000
4.2606 3.3734 2.4946
2.7166 -1.8301 0.0000
5.8046 1.8301 0.0000
4.2606 -3.3734 2.4946
5.8046 -1.8301 0.0000
4.2606 0.0000 2.4946
```

Results
Density of states at the Fermi level: 1.188 states/eV/atom
Spin magnetization: 0.00 μB/f.u.
E above lowest polymorph: 0.497 eV/atom
SG: Cmmm (65)



[7]
Here is an optimized crystal structure of Y3HoTm5 from Alexandria. Energies are from PBE.

```
Y3HoTm5
1.0
9.0108 -3.1440 0.0000
9.0108 3.1440 0.0000
-4.4260 0.0000 10.4619
Y Ho Tm
6 2 10
Cartesian
0.0000 0.0000 0.0000
-2.2130 0.0000 5.2310
3.1311 2.0389 6.6068
8.2516 2.0389 9.0861
5.3441 -2.0389 1.3759
10.4646 -2.0389 3.8551
7.9043 2.3189 2.6155
5.6913 -2.3189 7.8464
4.7132 1.2541 3.0024
1.7414 1.1891 10.3622
5.6913 0.6767 7.8464
11.0954 1.2541 2.2285
9.6413 1.1891 5.3307
3.9543 -1.1891 5.1313
2.5002 -1.2541 8.2334
7.9043 -0.6767 2.6155
11.8543 -1.1891 0.0997
8.8824 -1.2541 7.4595
```

Results
Density of states at the Fermi level: 1.441 states/eV/atom
Spin magnetization: 0.00 μB/f.u.
E above lowest polymorph: 0.000 eV/atom
SG: C2/c (15)



[8]
Here is an optimized crystal structure of YHo4Tm8 from Alexandria. Energies are from PBE.

```
YHo4Tm8
1.0
3.6043 2.0809 8.9197
-3.6043 2.0809 8.9197
0.0000 -4.1619 8.9197
Y Ho Tm
1 4 8
Cartesian
0.0000 0.0000 0.0000
-3.6043 0.0000 13.3795
-1.8021 1.0405 4.4598
1.8021 1.0405 4.4598
0.0000 0.0000 13.3795
0.0000 -1.8445 10.6634
-1.5974 0.9223 10.6634
0.0000 0.0000 7.5781
-1.5974 -0.9223 16.0957
1.5974 0.9223 10.6634
0.0000 0.0000 19.1810
1.5974 -0.9223 16.0956
0.0000 1.8445 16.0956
```

Results
Total energy: -4.42 eV per atom
Density of states at the Fermi level: 1.363 states/eV/atom
Spin magnetization: 0.00 μB/f.u.
SG: R-3m (166)



[9]
Here is an optimized crystal structure of Y7HoTm4 from Alexandria. Energies are from PBE.

```
Y7HoTm4
1.0
9.3254 -3.4555 0.0000
9.3254 3.4555 0.0000
-0.0415 0.0000 5.9653
Y Ho Tm
7 1 4
Cartesian
0.0000 0.0000 0.0000
3.4808 0.0000 1.4977
5.3049 0.0000 4.4938
8.5629 0.0000 4.4685
10.0464 0.0000 1.4968
13.3045 0.0000 1.4716
15.1285 0.0000 4.4676
-0.0207 0.0000 2.9827
6.7703 1.5907 1.5095
11.8391 1.5907 4.4558
6.7703 -1.5907 1.5095
11.8391 -1.5907 4.4558
```

Results
Total energy: -5.50 eV per atom
Density of states at the Fermi level: 1.847 states/eV/atom
Spin magnetization: 0.00 μB/f.u.
SG: C2/m (12)



[10]
Here is an optimized crystal structure of Y5Ho5Tm2 from Alexandria. Energies are from PBE.

```
Y5Ho5Tm2
1.0
4.8207 -2.8070 0.0000
4.8207 2.8070 0.0000
-3.2445 0.0000 14.2671
Y Ho Tm
5 5 2
Cartesian
0.0000 0.0000 0.0000
-0.0354 0.0000 8.2387
-0.0622 0.0000 11.7937
6.4590 0.0000 2.4734
6.4323 0.0000 6.0284
0.0366 0.0000 4.3871
3.2262 0.0000 0.8632
3.1984 0.0000 7.1336
3.1707 0.0000 13.4039
6.3603 0.0000 9.8800
3.2598 0.0000 4.0973
3.1371 0.0000 10.1698
```

Results
Density of states at the Fermi level: 1.780 states/eV/atom
Spin magnetization: 0.00 μB/f.u.
E above lowest polymorph: 0.166 eV/atom
SG: C2/m (12)



[11]
Here is an optimized crystal structure of Y9Ho4Tm from Alexandria. Energies are from PBE.

```
Y9Ho4Tm
1.0
9.6961 0.0000 0.0000
-4.8481 8.3971 0.0000
0.0000 0.0000 11.2621
Y Ho Tm
18 8 2
Cartesian
-1.8382 4.5368 2.8155
0.0000 3.5149 5.9146
0.0000 3.5149 10.9785
-1.8041 6.6396 5.9146
-1.8041 6.6396 10.9785
3.0440 1.7574 0.2836
3.0440 1.7574 5.3475
1.8382 4.5368 2.8155
0.0000 7.7206 2.8155
4.8481 0.6765 8.4466
3.0098 3.8603 8.4466
1.8041 6.6396 5.9146
1.8041 6.6396 10.9785
6.6521 1.7574 0.2836
6.6521 1.7574 5.3475
4.8481 4.8822 0.2836
4.8481 4.8822 5.3475
6.6863 3.8603 8.4466
0.0000 0.0000 0.0000
0.0000 0.0000 5.6311
0.0000 1.8562 2.8155
-3.2406 7.4690 2.8155
1.6075 0.9281 8.4466
3.2406 7.4690 2.8155
8.0886 0.9281 8.4466
4.8480 6.5409 8.4466
0.0000 5.5980 8.4466
4.8481 2.7990 2.8155
```

Results
Total energy: -5.61 eV per atom
Density of states at the Fermi level: 1.459 states/eV/atom
Spin magnetization: 0.00 μB/f.u.
SG: P6_3/mmc (194)



[12]
Here is an optimized crystal structure of Y5Ho6Tm from Alexandria. Energies are from PBE.

```
Y5Ho6Tm
1.0
3.0677 -5.3067 0.0000
3.0677 5.3067 0.0000
-2.0365 0.0000 11.5611
Y Ho Tm
5 6 1
Cartesian
0.0000 0.0000 0.0000
2.0494 3.5378 5.7805
3.0677 1.7684 0.0000
3.0677 -1.7684 0.0000
2.0494 -3.5378 5.7805
1.0325 1.7639 2.9001
0.0074 0.0000 8.6611
1.0325 -1.7639 2.9001
3.0663 1.7639 8.6610
4.0914 0.0000 2.9000
3.0663 -1.7639 8.6610
2.0494 0.0000 5.7805
```

Results
Total energy: -5.33 eV per atom
Density of states at the Fermi level: 1.454 states/eV/atom
Spin magnetization: 0.00 μB/f.u.
SG: C2/m (12)



- Which of these has the highest density of states at the Fermi level?
  Y7HoTm4